(1)
# Mg2HPtRh

An optimized crystal structure of Mg2HPtRh (PBE-GGA, the Alexandria database).

Summary:
The density of states at the Fermi level is 2.0 states/eV/f.u. The relative energy among the computed polymorphs is 0.0000 eV/atom. As for the uncorrected energy: -4.592 eV per atom.

Unit cell a=4.368 b=4.368 c=3.426 alpha=90.00 beta=90.00 gamma=90.00
Fractional positions:
Mg1 0.000 0.500 0.000
Mg2 0.500 0.000 0.000
H1 0.000 0.000 0.000
Pt1 0.500 0.500 0.500
Rh1 0.000 0.000 0.500



(2)
# MgHRuPt2

An optimized crystal structure of MgHRuPt2 (PBE-GGA, the Alexandria database).

Summary:
The density of states at the Fermi level is 5.1 states/eV/f.u. The relative energy among the computed polymorphs is 0.0000 eV/atom. As for the uncorrected energy: -5.440 eV per atom.

Unit cell a=4.000 b=4.000 c=3.998 alpha=90.00 beta=90.00 gamma=90.00
Fractional positions:
Mg1 0.000 0.000 0.000
H1 0.500 0.500 0.500
Ru1 0.500 0.500 0.000
Pt1 0.000 0.500 0.500
Pt2 0.500 0.000 0.500



(3)
# MgHRuPt2

An optimized crystal structure of MgHRuPt2 (PBE-GGA, the Alexandria database).

Summary:
The density of states at the Fermi level is 4.4 states/eV/f.u. The relative energy among the computed polymorphs is 0.8296 eV/atom. As for the uncorrected energy: -4.610 eV per atom.

Unit cell a=4.974 b=4.974 c=2.921 alpha=90.00 beta=90.00 gamma=90.00
Fractional positions:
Mg1 0.000 0.000 0.000
H1 0.000 0.000 0.500
Ru1 0.500 0.500 0.500
Pt1 0.000 0.500 0.000
Pt2 0.500 0.000 0.000



(4)
# Mg2H6RuPt

An optimized crystal structure of Mg2H6RuPt (PBE-GGA, the Alexandria database).

Summary:
As for the uncorrected energy: -4.103 eV per atom.

Unit cell a=4.937 b=4.937 c=4.943 alpha=113.32 beta=115.95 gamma=99.42
Fractional positions:
Mg1 0.000 0.000 0.000
Mg2 0.469 0.466 0.001
H1 0.100 0.492 0.124
H2 0.111 0.594 0.678
H3 0.518 0.176 0.228
H4 0.550 0.037 0.675
H5 0.586 0.551 0.669
H6 0.820 0.996 0.345
Ru1 0.797 0.327 0.654
Pt1 0.101 0.831 0.465



(5)
# MgSbH2Pt

An optimized crystal structure of MgSbH2Pt (PBE-GGA, the Alexandria database).

Summary:
The density of states at the Fermi level is 1.5 states/eV/f.u. As for the uncorrected energy: -3.629 eV per atom.

Unit cell a=3.847 b=3.847 c=5.382 alpha=90.00 beta=90.00 gamma=90.00
Fractional positions:
Mg1 0.000 0.000 0.000
Sb1 0.500 0.500 0.000
H1 0.000 0.500 0.500
H2 0.500 0.000 0.500
Pt1 0.500 0.500 0.500



(6)
# Mg2ScHPt

An optimized crystal structure of Mg2ScHPt (PBE-GGA, the Alexandria database).

Summary:
The density of states at the Fermi level is 2.1 states/eV/f.u. As for the uncorrected energy: -4.302 eV per atom.

Unit cell a=4.101 b=4.101 c=4.466 alpha=90.00 beta=90.00 gamma=90.00
Fractional positions:
Mg1 0.000 0.500 0.000
Mg2 0.500 0.000 0.000
Sc1 0.000 0.000 0.500
H1 0.000 0.000 0.000
Pt1 0.500 0.500 0.500



Repeat the third record exactly.
# MgHRuPt2

An optimized crystal structure of MgHRuPt2 (PBE-GGA, the Alexandria database).

Summary:
The density of states at the Fermi level is 4.4 states/eV/f.u. The relative energy among the computed polymorphs is 0.8296 eV/atom. As for the uncorrected energy: -4.610 eV per atom.

Unit cell a=4.974 b=4.974 c=2.921 alpha=90.00 beta=90.00 gamma=90.00
Fractional positions:
Mg1 0.000 0.000 0.000
H1 0.000 0.000 0.500
Ru1 0.500 0.500 0.500
Pt1 0.000 0.500 0.000
Pt2 0.500 0.000 0.000



Question: Look up the uncorrected energy of the first one.
Answer: -4.592 eV per atom



Question: The lowest uncorrected energy belongs to which entry?
Answer: number 2



Question: What is the formula in the sixth record?
Answer: Mg2ScHPt